{"formula": "GaHg2PbI", "functional": "PBE", "state": "relaxed", "cell": [[-0.3886, -0.1846, 5.2632], [2.9873, -4.3540, 0.0678], [4.8419, 3.3294, 0.4742]], "species": ["Hg", "Ga", "Hg", "I", "Pb"], "fractional_positions": [[0.0000, 0.5000, 0.0000], [0.0000, 0.0000, 0.0000], [0.5000, 0.0000, 0.0000], [0.5000, 0.5000, 0.5000], [0.0000, 0.0000, 0.5000]], "density_g_cm3": 8.1, "e_form_raw_ev_per_fu": -0.21, "space_group": "P4/mmm (123)", "total_magnetization_mub_per_fu": 0.0}